[1]
Here is a relaxed LuPaFe crystal from OQMD via LeMat-Bulk. Energies are from PBE.

Cell and atoms, written as CIF:
```
data_LuPaFe
_space_group_name_H-M_alt 'F -4 3 m'
_space_group_IT_number 216
_space_group_name_Hall 'F -4 2 3'
_cell_length_a 6.452
_cell_length_b 6.452
_cell_length_c 6.452
_cell_angle_alpha 90.00
_cell_angle_beta 90.00
_cell_angle_gamma 90.00
loop_
_atom_site_label
_atom_site_type_symbol
_atom_site_fract_x
_atom_site_fract_y
_atom_site_fract_z
_atom_site_occupancy
Lu1 Lu 0.000 0.000 0.000 1
Pa1 Pa 0.000 0.000 0.500 1
Fe1 Fe 0.250 0.250 0.250 1
```

Summary:
The calculation puts the offset from the most stable computed form at 0.000 kcal/mol of atoms. As for the total energy: -87.001 eV per cell. The formation energy is 0.19 eV per atom.

***

[2]
Here is a relaxed Lu2FePb crystal from OQMD via LeMat-Bulk. Energies are from PBE.

Cell and atoms, written as CIF:
```
data_Lu2FePb
_space_group_name_H-M_alt 'F -4 3 m'
_space_group_IT_number 216
_space_group_name_Hall 'F -4 2 3'
_cell_length_a 6.903
_cell_length_b 6.903
_cell_length_c 6.903
_cell_angle_alpha 90.00
_cell_angle_beta 90.00
_cell_angle_gamma 90.00
loop_
_atom_site_label
_atom_site_type_symbol
_atom_site_fract_x
_atom_site_fract_y
_atom_site_fract_z
_atom_site_occupancy
Lu1 Lu 0.000 0.000 0.000 1
Lu2 Lu 0.250 0.250 0.250 1
Fe1 Fe 0.250 0.250 0.750 1
Pb1 Pb 0.000 0.000 0.500 1
```

Summary:
As for the total energy: -81.148 eV per cell.

***

[3]
Here is a relaxed LuFePb crystal from OQMD via LeMat-Bulk. Energies are from PBE.

Cell and atoms, written as CIF:
```
data_LuFePb
_space_group_name_H-M_alt 'F -4 3 m'
_space_group_IT_number 216
_space_group_name_Hall 'F -4 2 3'
_cell_length_a 6.705
_cell_length_b 6.705
_cell_length_c 6.705
_cell_angle_alpha 90.00
_cell_angle_beta 90.00
_cell_angle_gamma 90.00
loop_
_atom_site_label
_atom_site_type_symbol
_atom_site_fract_x
_atom_site_fract_y
_atom_site_fract_z
_atom_site_occupancy
Lu1 Lu 0.000 0.000 0.000 1
Fe1 Fe 0.000 0.000 0.500 1
Pb1 Pb 0.250 0.250 0.750 1
```

Summary:
As for the total energy: -62.265 eV per cell.

***

[4]
Here is a relaxed LuFeRePb crystal from OQMD via LeMat-Bulk. Energies are from PBE.

Cell and atoms, written as CIF:
```
data_LuFeRePb
_space_group_name_H-M_alt 'F -4 3 m'
_space_group_IT_number 216
_space_group_name_Hall 'F -4 2 3'
_cell_length_a 6.642
_cell_length_b 6.642
_cell_length_c 6.642
_cell_angle_alpha 90.00
_cell_angle_beta 90.00
_cell_angle_gamma 90.00
loop_
_atom_site_label
_atom_site_type_symbol
_atom_site_fract_x
_atom_site_fract_y
_atom_site_fract_z
_atom_site_occupancy
Lu1 Lu 0.000 0.000 0.000 1
Fe1 Fe 0.000 0.000 0.500 1
Re1 Re 0.250 0.250 0.750 1
Pb1 Pb 0.250 0.250 0.250 1
```

Summary:
The calculation puts the offset from the most stable computed form at 1.295 kcal/mol of atoms. As for the total energy: -106.268 eV per cell.

***

[5]
Here is a relaxed LuFeRePb crystal from OQMD via LeMat-Bulk. Energies are from PBE.

Cell and atoms, written as CIF:
```
data_LuFeRePb
_space_group_name_H-M_alt 'F -4 3 m'
_space_group_IT_number 216
_space_group_name_Hall 'F -4 2 3'
_cell_length_a 6.602
_cell_length_b 6.602
_cell_length_c 6.602
_cell_angle_alpha 90.00
_cell_angle_beta 90.00
_cell_angle_gamma 90.00
loop_
_atom_site_label
_atom_site_type_symbol
_atom_site_fract_x
_atom_site_fract_y
_atom_site_fract_z
_atom_site_occupancy
Lu1 Lu 0.000 0.000 0.000 1
Fe1 Fe 0.250 0.250 0.750 1
Re1 Re 0.250 0.250 0.250 1
Pb1 Pb 0.000 0.000 0.500 1
```

Summary:
The calculation puts the offset from the most stable computed form at 0.000 kcal/mol of atoms. As for the total energy: -107.166 eV per cell.

***

[6]
Here is a relaxed LuScFePb crystal from OQMD via LeMat-Bulk. Energies are from PBE.

Cell and atoms, written as CIF:
```
data_LuScFePb
_space_group_name_H-M_alt 'F -4 3 m'
_space_group_IT_number 216
_space_group_name_Hall 'F -4 2 3'
_cell_length_a 6.770
_cell_length_b 6.770
_cell_length_c 6.770
_cell_angle_alpha 90.00
_cell_angle_beta 90.00
_cell_angle_gamma 90.00
loop_
_atom_site_label
_atom_site_type_symbol
_atom_site_fract_x
_atom_site_fract_y
_atom_site_fract_z
_atom_site_occupancy
Lu1 Lu 0.000 0.000 0.000 1
Sc1 Sc 0.250 0.250 0.250 1
Fe1 Fe 0.250 0.250 0.750 1
Pb1 Pb 0.000 0.000 0.500 1
```

Summary:
The calculation puts the offset from the most stable computed form at 0.000 kcal/mol of atoms. As for the total energy: -90.370 eV per cell.

***

[7]
Here is a relaxed LuTaFePb crystal from OQMD via LeMat-Bulk. Energies are from PBE.

Cell and atoms, written as CIF:
```
data_LuTaFePb
_space_group_name_H-M_alt 'F -4 3 m'
_space_group_IT_number 216
_space_group_name_Hall 'F -4 2 3'
_cell_length_a 6.808
_cell_length_b 6.808
_cell_length_c 6.808
_cell_angle_alpha 90.00
_cell_angle_beta 90.00
_cell_angle_gamma 90.00
loop_
_atom_site_label
_atom_site_type_symbol
_atom_site_fract_x
_atom_site_fract_y
_atom_site_fract_z
_atom_site_occupancy
Lu1 Lu 0.000 0.000 0.000 1
Ta1 Ta 0.250 0.250 0.750 1
Fe1 Fe 0.000 0.000 0.500 1
Pb1 Pb 0.250 0.250 0.250 1
```

Summary:
The calculation puts the offset from the most stable computed form at 0.000 kcal/mol of atoms. As for the total energy: -104.602 eV per cell.

***

[8]
Here is a relaxed LuFeTcPb crystal from OQMD via LeMat-Bulk. Energies are from PBE.

Cell and atoms, written as CIF:
```
data_LuFeTcPb
_space_group_name_H-M_alt 'F -4 3 m'
_space_group_IT_number 216
_space_group_name_Hall 'F -4 2 3'
_cell_length_a 6.613
_cell_length_b 6.613
_cell_length_c 6.613
_cell_angle_alpha 90.00
_cell_angle_beta 90.00
_cell_angle_gamma 90.00
loop_
_atom_site_label
_atom_site_type_symbol
_atom_site_fract_x
_atom_site_fract_y
_atom_site_fract_z
_atom_site_occupancy
Lu1 Lu 0.000 0.000 0.000 1
Fe1 Fe 0.250 0.250 0.750 1
Tc1 Tc 0.250 0.250 0.250 1
Pb1 Pb 0.000 0.000 0.500 1
```

Summary:
The calculation puts the offset from the most stable computed form at 0.000 kcal/mol of atoms. As for the total energy: -103.092 eV per cell.